{
  "formula": "Zr6ScGa5",
  "functional": "PBE-GGA",
  "state": "optimized geometry",
  "formation_enthalpy_0k_ev_per_atom": -0.436,
  "space_group": "Immm (71)",
  "lattice_angstrom": [[-2.615, 3.433, 0.172], [-8.559, -0.913, -3.389], [-6.443, -2.403, 4.293]],
  "species": ["Ga", "Ga", "Ga", "Ga", "Ga", "Zr", "Zr", "Zr", "Zr", "Zr", "Zr", "Sc"],
  "frac_coords": [[0.500, 0.156, 0.688], [0.000, 0.324, 0.351], [0.000, 0.676, 0.649], [0.500, 0.500, 0.000], [0.500, 0.844, 0.312], [0.231, 0.269, 0.000], [0.769, 0.731, 0.000], [0.257, 0.573, 0.338], [0.743, 0.427, 0.662], [0.743, 0.088, 0.338], [0.257, 0.912, 0.662], [0.000, 0.000, 0.000]]
}

---

{
  "formula": "Tb3Er2Th2",
  "functional": "PBE-GGA",
  "state": "optimized geometry",
  "formation_enthalpy_0k_ev_per_atom": 0.027,
  "space_group": "P-1 (2)",
  "de_polymorph_mev_per_atom": 0.0,
  "lattice_angstrom": [[-2.110, -2.791, -0.694], [7.816, -4.359, 2.887], [-0.602, -3.570, 7.032]],
  "species": ["Er", "Er", "Tb", "Tb", "Tb", "Th", "Th"],
  "frac_coords": [[0.423, 0.139, 0.293], [0.577, 0.861, 0.707], [0.294, 0.432, 0.844], [0.000, 0.000, 0.000], [0.706, 0.568, 0.156], [0.859, 0.286, 0.570], [0.141, 0.714, 0.430]]
}

---

{
  "formula": "ZnIn3Ag",
  "functional": "PBE-GGA",
  "state": "optimized geometry",
  "formation_enthalpy_0k_ev_per_atom": 0.362,
  "space_group": "Pm-3m (221)",
  "de_polymorph_mev_per_atom": 290.0,
  "lattice_angstrom": [[5.203, 0.000, 0.000], [0.000, 5.203, 0.000], [0.000, 0.000, 5.203]],
  "species": ["In", "In", "In", "Zn", "Ag"],
  "frac_coords": [[0.500, 0.000, 0.000], [0.000, 0.000, 0.500], [0.000, 0.500, 0.000], [0.000, 0.000, 0.000], [0.500, 0.500, 0.500]]
}

---

{
  "formula": "RbNaBr2",
  "functional": "PBE-GGA",
  "state": "optimized geometry",
  "formation_energy_uncorrected_ev_per_atom": -1.587,
  "space_group": "I-42d (122)",
  "lattice_angstrom": [[8.168, 0.000, 0.000], [0.000, 8.168, 0.000], [4.084, 4.084, 4.715]],
  "species": ["Na", "Na", "Br", "Br", "Br", "Br", "Rb", "Rb"],
  "frac_coords": [[0.250, 0.750, 0.500], [0.500, 0.500, 0.000], [0.875, 0.823, 0.750], [0.177, 0.625, 0.250], [0.573, 0.125, 0.250], [0.375, 0.427, 0.750], [0.750, 0.250, 0.500], [0.000, 0.000, 0.000]]
}

---

{
  "formula": "Sr3NbTc",
  "functional": "PBE-GGA",
  "state": "optimized geometry",
  "formation_enthalpy_0k_ev_per_atom": 1.477,
  "space_group": "Pm-3m (221)",
  "de_polymorph_mev_per_atom": 0.0,
  "lattice_angstrom": [[5.618, 0.000, 0.000], [0.000, 5.618, 0.000], [0.000, 0.000, 5.618]],
  "species": ["Sr", "Sr", "Sr", "Nb", "Tc"],
  "frac_coords": [[0.000, 0.500, 0.000], [0.000, 0.000, 0.500], [0.500, 0.000, 0.000], [0.500, 0.500, 0.500], [0.000, 0.000, 0.000]]
}

---

{
  "formula": "Mg2CoMo",
  "functional": "PBE-GGA",
  "state": "optimized geometry",
  "formation_enthalpy_0k_ev_per_atom": 0.759,
  "space_group": "I-42d (122)",
  "de_polymorph_mev_per_atom": 647.9,
  "lattice_angstrom": [[7.195, 0.000, 0.000], [0.000, 7.195, 0.000], [3.598, 3.598, 2.545]],
  "species": ["Co", "Co", "Mo", "Mo", "Mg", "Mg", "Mg", "Mg"],
  "frac_coords": [[0.500, 0.500, 0.000], [0.250, 0.750, 0.500], [0.750, 0.250, 0.500], [0.000, 0.000, 0.000], [0.875, 0.838, 0.750], [0.162, 0.625, 0.250], [0.375, 0.412, 0.750], [0.588, 0.125, 0.250]]
}